{"formula": "Ba2Cu2Te", "functional": "PBE-GGA", "state": "relaxed", "volume_a3_per_atom": 30.4, "polymorph_energy_ev_per_fu": 0.00, "dos_at_fermi_per_ev_atom": 0.288, "raw_formation_energy_mev_per_atom": -462, "space_group": "No. 127", "total_energy_ev_per_atom": -3.498, "lattice_angstrom": [[-0.827, 7.500, -3.603], [-8.319, -0.677, 0.501], [0.082, 1.890, 3.915]], "species": ["Te", "Ba", "Cu", "Cu", "Cu", "Ba", "Ba", "Cu", "Ba", "Te"], "fractional_positions": [[0.000, 0.000, 0.000], [0.312, 0.188, 0.500], [0.602, 0.102, 0.000], [0.102, 0.398, 0.000], [0.898, 0.602, 0.000], [0.812, 0.312, 0.500], [0.188, 0.688, 0.500], [0.398, 0.898, 0.000], [0.688, 0.812, 0.500], [0.500, 0.500, 0.000]]}